# CsTl2Rh, relaxed, DFT PBE-GGA
# E_form, eV/atom: 0.096
# Total energy, eV/atom: -3.139
data_CsTl2Rh
_chemical_formula_sum 'Cs1 Tl2 Rh1'
_cell_length_a 3.5034
_cell_length_b 3.5034
_cell_length_c 9.1412
_cell_angle_alpha 90.00
_cell_angle_beta 90.00
_cell_angle_gamma 90.00
_space_group_name_H-M_alt 'P 1'
_space_group_IT_number 1
loop_
_space_group_symop_operation_xyz
'x,y,z'
loop_
_atom_site_label
_atom_site_fract_x
_atom_site_fract_y
_atom_site_fract_z
_atom_site_occupancy
Tl1 0.0000 0.0000 0.1772 1
Tl2 0.0000 0.0000 0.8228 1
Rh1 0.5000 0.5000 0.0000 1
Cs1 0.5000 0.5000 0.5000 1